Si2AsWF after structural relaxation. Source: the Alexandria database, functional GGA+U.

Lattice parameters (Å, degrees): 4.666 4.312 4.666 90.00 90.00 90.00
Site moments in Bohr magnetons follow the coordinates.
Atoms (fractional coordinates):
1 As 0.500 0.500 0.500  0.00
2 Si 0.000 0.000 0.500  -0.06
3 Si 0.500 0.000 0.000  -0.08
4 W 0.000 0.500 0.000  3.12
5 F 0.000 0.000 0.000  0.04

Output
- Calculated total energy: -0.31385 Ry per atom
- Spin magnetization: 3.27 μB per cell
- Space-group type: P4/mmm, No. 123